A plane-wave DFT calculation with PBE was carried out for an optimized crystal structure of MnFe2Co.

Unit cell a=4.009 b=4.009 c=4.009 alpha=60.00 beta=60.00 gamma=60.00
Atoms (fractional coordinates):
Mn 0.000 0.000 0.000
Fe 0.250 0.250 0.250
Fe 0.500 0.500 0.500
Co 0.750 0.750 0.750

Output
- M_tot: 8.0 Bohr magnetons per cell
- Formation energy: 43 meV/atom


A plane-wave DFT calculation with PBE was carried out for an optimized crystal structure of Sc2TaHg.

Unit cell a=9.977 b=9.977 c=9.977 alpha=18.37 beta=18.37 gamma=18.37
Atoms (fractional coordinates):
Sc 0.248 0.248 0.248
Sc 0.752 0.752 0.752
Ta 0.500 0.500 0.500
Hg 0.000 0.000 0.000

Output
- M_tot: 0.6 Bohr magnetons per cell
- Formation energy: 4 meV/atom


A plane-wave DFT calculation with PBE was carried out for an optimized crystal structure of Dy3NiHg.

Unit cell a=7.266 b=4.653 c=7.921 alpha=90.00 beta=110.28 gamma=90.00
Atoms (fractional coordinates):
Dy 0.056 0.250 0.243
Dy 0.317 0.250 0.918
Dy 0.340 0.750 0.585
Dy 0.660 0.250 0.415
Dy 0.683 0.750 0.082
Dy 0.944 0.750 0.757
Ni 0.062 0.250 0.583
Ni 0.938 0.750 0.417
Hg 0.310 0.750 0.182
Hg 0.690 0.250 0.818

Output
- M_tot: 0.0 Bohr magnetons per cell
- Formation energy: -366 meV/atom